Record 1
A plane-wave DFT calculation with PBE was carried out for a geometry-optimized HfSeBr2Cl structure.

Lattice parameters (Å, degrees): 4.9234 4.9234 5.7589 90.00 90.00 90.00
Last column: nearest neighbours and their distance in Å.
Space group P4/mmm (No. 123)
One atom of each set of equivalent atoms:
1 Hf 0.0000 0.0000 0.0000 x1  4 Se 3.48, 8 Br 3.79
2 Se 0.5000 0.5000 0.0000 x1  2 Cl 2.88
3 Br 0.0000 0.5000 0.5000 x2  2 Cl 2.46
4 Cl 0.5000 0.5000 0.5000 x1  4 Br 2.46

N(E_F)   5.81 states/eV/cell
Formation energy without anion corrections   836 meV/atom
ΔE to the lowest computed polymorph   1499 meV/atom

Record 2
A plane-wave DFT calculation with PBE was carried out for a geometry-optimized Hf2TeBrCl structure.

Lattice parameters (Å, degrees): 4.8422 4.8422 5.5683 90.00 90.00 90.00
Last column: nearest neighbours and their distance in Å.
Space group P4/mmm (No. 123)
One atom of each set of equivalent atoms:
1 Hf 0.0000 0.5000 0.0000 x2  2 Cl 2.42
2 Te 0.0000 0.0000 0.5000 x1  2 Cl 2.78
3 Br 0.5000 0.5000 0.5000 x1  4 Te 3.42, 8 Hf 3.69
4 Cl 0.0000 0.0000 0.0000 x1  4 Hf 2.42

N(E_F)   3.32 states/eV/cell
Formation energy without anion corrections   626 meV/atom

Record 3
A plane-wave DFT calculation with PBE was carried out for a geometry-optimized HfTl2BrCl structure.

Lattice parameters (Å, degrees): 5.9460 5.9460 5.3717 90.00 90.00 90.00
Last column: nearest neighbours and their distance in Å.
Space group P4/mmm (No. 123)
One atom of each set of equivalent atoms:
1 Hf 0.0000 0.0000 0.0000 x1  8 Tl 4.01, 4 Cl 4.20
2 Tl 0.0000 0.5000 0.5000 x2  2 Br 2.97
3 Br 0.5000 0.5000 0.5000 x1  2 Cl 2.69, 4 Tl 2.97
4 Cl 0.5000 0.5000 0.0000 x1  2 Br 2.69

N(E_F)   5.71 states/eV/cell
Formation energy without anion corrections   791 meV/atom

Record 4
A plane-wave DFT calculation with PBE was carried out for a geometry-optimized HgBr2Cl structure.

Lattice parameters (Å, degrees): 3.2324 3.5800 10.5150 90.00 90.00 90.00
Last column: nearest neighbours and their distance in Å.
Space group Pmm2 (No. 25)
One atom of each set of equivalent atoms:
1 Hg 0.0000 0.0000 0.0000 x1  4 Cl 2.86, 4 Br 3.06
2 Br 0.0000 0.0000 0.4832 x1  4 Br 3.23-3.58
3 Br 0.5000 0.5000 0.8210 x1  4 Hg 3.06, 2 Br 3.23
4 Cl 0.5000 0.5000 0.1470 x1  4 Hg 2.86

N(E_F)   1.46 states/eV/cell
Formation energy without anion corrections   81 meV/atom
ΔE to the lowest computed polymorph   367 meV/atom

Record 5
A plane-wave DFT calculation with PBE was carried out for a geometry-optimized HgBr2Cl structure.

Lattice parameters (Å, degrees): 4.0050 8.5816 8.0922 90.00 90.00 90.00
Last column: nearest neighbours and their distance in Å.
Space group Cmmm (No. 65)
One atom of each set of equivalent atoms:
1 Hg 0.0000 0.0000 0.0000 x2  4 Br 2.73
2 Br 0.0000 0.5000 0.2286 x4  2 Hg 2.73, 2 Cl 2.97
3 Cl 0.0000 0.0000 0.5000 x2  4 Br 2.97

N(E_F)   7.14 states/eV/cell
Formation energy without anion corrections   -52 meV/atom
ΔE to the lowest computed polymorph   234 meV/atom

Record 6
A plane-wave DFT calculation with PBE was carried out for a geometry-optimized Hg3BrCl structure.

Lattice parameters (Å, degrees): 5.7816 5.7816 5.7816 90.00 90.00 90.00
Last column: nearest neighbours and their distance in Å.
Space group Pm-3m (No. 221)
One atom of each set of equivalent atoms:
1 Hg 0.0000 0.0000 0.5000 x3  2 Br 2.89
2 Br 0.0000 0.0000 0.0000 x1  6 Hg 2.89
3 Cl 0.5000 0.5000 0.5000 x1  12 Hg 4.09

N(E_F)   1.88 states/eV/cell
Formation energy without anion corrections   119 meV/atom
ΔE to the lowest computed polymorph   262 meV/atom

Record 7
A plane-wave DFT calculation with PBE was carried out for a geometry-optimized HgBrCl structure.

Lattice parameters (Å, degrees): 4.1889 6.4287 8.2003 90.00 103.69 90.00
Last column: nearest neighbours and their distance in Å.
Space group P2_1/m (No. 11)
One atom of each set of equivalent atoms:
1 Hg 0.2162 0.2500 0.1568 x2  1 Cl 2.38, 1 Br 2.47
2 Br 0.2770 0.7500 0.6157 x2  1 Hg 2.47
3 Cl 0.2183 0.7500 0.0902 x2  1 Hg 2.38

N(E_F)   0.00 states/eV/cell
Formation energy without anion corrections   -528 meV/atom

Record 8
A plane-wave DFT calculation with PBE was carried out for a geometry-optimized HgBr2Cl6 structure.

Lattice parameters (Å, degrees): 4.2983 8.3584 10.1197 102.33 93.35 96.80
Last column: nearest neighbours and their distance in Å.
Space group P-1 (No. 2)
One atom of each set of equivalent atoms:
1 Hg 0.0000 0.0000 0.0000 x1  2 Br 2.47
2 Br 0.3001 0.8906 0.8076 x2  1 Hg 2.47
3 Cl 0.0763 0.5859 0.9478 x2  1 Cl 2.03
4 Cl 0.3407 0.1724 0.6432 x2  1 Cl 2.02
5 Cl 0.3809 0.3357 0.5219 x2  1 Cl 2.02

N(E_F)   0.00 states/eV/cell
Formation energy without anion corrections   -140 meV/atom

Record 9
A plane-wave DFT calculation with PBE was carried out for a geometry-optimized Hg3BrCl5 structure.

Lattice parameters (Å, degrees): 7.1201 9.9492 10.4628 62.20 73.62 72.65
Last column: nearest neighbours and their distance in Å.
Space group P-1 (No. 2)
One atom of each set of equivalent atoms:
1 Hg 0.0000 0.0000 0.0000 x1  2 Cl 2.33
2 Hg 0.1012 0.7609 0.6101 x2  2 Cl 2.32-2.33
3 Hg 0.3397 0.3053 0.6848 x2  2 Cl 2.33-2.34
4 Hg 0.5000 0.5000 0.0000 x1  2 Br 2.45
5 Br 0.3601 0.7689 0.8471 x2  1 Hg 2.45
6 Cl 0.0323 0.4513 0.2108 x2  1 Hg 2.32
7 Cl 0.1212 0.1917 0.6545 x2  1 Hg 2.34
8 Cl 0.2355 0.1094 0.0159 x2  1 Hg 2.33
9 Cl 0.2704 0.9487 0.4209 x2  1 Hg 2.33
10 Cl 0.4382 0.5664 0.3102 x2  1 Hg 2.33

N(E_F)   0.00 states/eV/cell
Formation energy without anion corrections   -563 meV/atom
ΔE to the lowest computed polymorph   0 meV/atom

Record 10
A plane-wave DFT calculation with PBE was carried out for a geometry-optimized HgBrCl structure.

Lattice parameters (Å, degrees): 13.9186 4.8951 6.8243 90.00 111.64 90.00
Last column: nearest neighbours and their distance in Å.
Space group C2/m (No. 12)
One atom of each set of equivalent atoms:
1 Hg 0.0000 0.0000 0.0000 x2  2 Br 2.48
2 Hg 0.0000 0.5000 0.5000 x2  2 Cl 2.36
3 Br 0.1266 0.0000 0.3689 x4  1 Hg 2.48
4 Cl 0.1140 0.5000 0.8552 x4  1 Hg 2.36

N(E_F)   0.00 states/eV/cell
Formation energy without anion corrections   -528 meV/atom

Record 11
A plane-wave DFT calculation with PBE was carried out for a geometry-optimized HgBrCl structure.

Lattice parameters (Å, degrees): 3.5280 3.5280 13.4451 90.00 90.00 90.00
Last column: nearest neighbours and their distance in Å.
Space group I4mm (No. 107)
One atom of each set of equivalent atoms:
1 Hg 0.0000 0.0000 0.0000 x2  4 Cl 2.95, 4 Br 3.06
2 Br 0.0000 0.0000 0.6319 x2  4 Hg 3.06, 1 Cl 3.34
3 Cl 0.0000 0.0000 0.3834 x2  4 Hg 2.95

N(E_F)   2.72 states/eV/cell
Formation energy without anion corrections   -128 meV/atom

Record 12
A plane-wave DFT calculation with PBE was carried out for a geometry-optimized HgBr2Cl structure.

Lattice parameters (Å, degrees): 5.1778 5.1778 3.8064 90.00 90.00 90.00
Last column: nearest neighbours and their distance in Å.
Space group P4/mmm (No. 123)
One atom of each set of equivalent atoms:
1 Hg 0.0000 0.0000 0.0000 x1  8 Br 3.21
2 Br 0.0000 0.5000 0.5000 x2  4 Hg 3.21, 4 Cl 3.21
3 Cl 0.5000 0.5000 0.0000 x1  8 Br 3.21

N(E_F)   3.93 states/eV/cell
Formation energy without anion corrections   284 meV/atom
ΔE to the lowest computed polymorph   570 meV/atom